# 1
## B3BrO (PBE)

Data for crystalline B3BrO at its relaxed geometry.

Values from the calculation:
The value obtained for the spin magnetization is 0.000 μB per atom. For the density of states at the Fermi level, the calculation gives 0.22 states/eV per atom. The calculation puts the formation energy without anion corrections at 1014 kJ/mol of formula units.

Cell lengths 3.9708, 3.9708, 3.9708 Å; angles 90.00, 90.00, 90.00 degrees
Closest atoms and distances in Å follow each position.
Sites, in units of the cell vectors:
B (0.0000, 0.0000, 0.5000)  2 O 1.99
B (0.0000, 0.5000, 0.0000)  2 O 1.99
B (0.5000, 0.0000, 0.0000)  2 O 1.99
Br (0.5000, 0.5000, 0.5000)  12 B 2.81
O (0.0000, 0.0000, 0.0000)  6 B 1.99



# 2
## BBr3O (PBE)

Data for crystalline BBr3O at its relaxed geometry.

Values from the calculation:
The value obtained for the spin magnetization is 0.000 μB per atom. For the density of states at the Fermi level, the calculation gives 1.89 states/eV per atom. The calculation puts the formation energy without anion corrections at 574 kJ/mol of formula units.

Cell lengths 4.5664, 4.5664, 4.5664 Å; angles 90.00, 90.00, 90.00 degrees
Closest atoms and distances in Å follow each position.
Sites, in units of the cell vectors:
B (0.0000, 0.0000, 0.0000)  6 Br 2.28
Br (0.0000, 0.0000, 0.5000)  2 B 2.28
Br (0.0000, 0.5000, 0.0000)  2 B 2.28
Br (0.5000, 0.0000, 0.0000)  2 B 2.28
O (0.5000, 0.5000, 0.5000)  12 Br 3.23



# 3
## BBr2O (PBE)

Data for crystalline BBr2O at its relaxed geometry.

Values from the calculation:
The value obtained for the spin magnetization is 0.250 μB per atom. For the density of states at the Fermi level, the calculation gives 0.02 states/eV per atom. The calculation puts the formation energy without anion corrections at 272 kJ/mol of formula units.

Cell lengths 4.0958, 4.0958, 20.6332 Å; angles 90.00, 90.00, 120.00 degrees
Closest atoms and distances in Å follow each position.
Sites, in units of the cell vectors:
B (0.0000, 0.0000, 0.0000)  2 Br 1.78
B (0.3333, 0.6667, 0.6667)  2 Br 1.78
B (0.6667, 0.3333, 0.3333)  2 Br 1.78
Br (0.0000, 0.0000, 0.0865)  1 B 1.78
Br (0.0000, 0.0000, 0.9135)  1 B 1.78
Br (0.3333, 0.6667, 0.5802)  1 B 1.78
Br (0.3333, 0.6667, 0.7532)  1 B 1.78
Br (0.6667, 0.3333, 0.2468)  1 B 1.78
Br (0.6667, 0.3333, 0.4198)  1 B 1.78
O (0.0000, 0.0000, 0.5000)  6 Br 2.89
O (0.3333, 0.6667, 0.1667)  6 Br 2.89
O (0.6667, 0.3333, 0.8333)  6 Br 2.89